Record 1
Below is crystalline As2PbBr at its relaxed geometry, with properties calculated at the PBE level.

Values from the calculation:
energy relative to the lowest polymorph listed for this composition: 60.40 kJ/mol of atoms
electronic total energy: -13.00 eV/f.u.
magnetization: 0.00 μB/f.u.
uncorrected formation energy: 0.42 eV/atom

The structure in CIF format:
```
data_As2PbBr
_symmetry_space_group_name_H-M 'P 4/m m m'
_symmetry_Int_Tables_number 123
_symmetry_space_group_name_Hall '-P 4 2'
_cell_length_a 5.4611
_cell_length_b 5.4611
_cell_length_c 3.3043
_cell_angle_alpha 90.00
_cell_angle_beta 90.00
_cell_angle_gamma 90.00
loop_
_atom_site_label
_atom_site_type_symbol
_atom_site_fract_x
_atom_site_fract_y
_atom_site_fract_z
As1 As 0.0000 0.5000 0.0000
Pb1 Pb 0.0000 0.0000 0.5000
Br1 Br 0.5000 0.5000 0.5000
```



Record 2
Below is crystalline As2PbBr at its relaxed geometry, with properties calculated at the PBE level.

Values from the calculation:
energy relative to the lowest polymorph listed for this composition: 11.26 kJ/mol of atoms
electronic total energy: -15.03 eV/f.u.
magnetization: 0.00 μB/f.u.
uncorrected formation energy: -0.09 eV/atom

The structure in CIF format:
```
data_As2PbBr
_symmetry_space_group_name_H-M 'P 4 m m'
_symmetry_Int_Tables_number 99
_cell_length_a 3.5874
_cell_length_b 3.5874
_cell_length_c 8.3535
_cell_angle_alpha 90.00
_cell_angle_beta 90.00
_cell_angle_gamma 90.00
loop_
_symmetry_equiv_pos_as_xyz
'x,y,z'
'-y,x,z'
'-x,-y,z'
'y,-x,z'
'-x,y,z'
'y,x,z'
'x,-y,z'
'-y,-x,z'
loop_
_atom_site_label
_atom_site_type_symbol
_atom_site_fract_x
_atom_site_fract_y
_atom_site_fract_z
As1 As 0.0000 0.0000 0.0000
As2 As 0.5000 0.5000 0.1222
Pb1 Pb 0.5000 0.5000 0.7310
Br1 Br 0.0000 0.0000 0.5044
```



Record 3
Below is crystalline As2PbBr at its relaxed geometry, with properties calculated at the PBE level.

Values from the calculation:
energy relative to the lowest polymorph listed for this composition: 50.49 kJ/mol of atoms
electronic total energy: -13.41 eV/f.u.
magnetization: 0.00 μB/f.u.
uncorrected formation energy: 0.32 eV/atom

The structure in CIF format:
```
data_As2PbBr
_symmetry_space_group_name_H-M 'C m m m'
_symmetry_Int_Tables_number 65
_symmetry_space_group_name_Hall '-C 2 2'
_cell_length_a 5.6502
_cell_length_b 11.4734
_cell_length_c 3.2183
_cell_angle_alpha 90.00
_cell_angle_beta 90.00
_cell_angle_gamma 90.00
loop_
_atom_site_label
_atom_site_type_symbol
_atom_site_fract_x
_atom_site_fract_y
_atom_site_fract_z
As1 As 0.2500 0.2500 0.0000
Pb1 Pb 0.0000 0.0000 0.5000
Br1 Br 0.0000 0.5000 0.5000
```



Record 4
Below is crystalline AsPbBr2 at its relaxed geometry, with properties calculated at the PBE level.

Values from the calculation:
energy relative to the lowest polymorph listed for this composition: 40.48 kJ/mol of atoms
electronic total energy: -11.14 eV/f.u.
magnetization: 0.00 μB/f.u.
uncorrected formation energy: 0.14 eV/atom

The structure in CIF format:
```
data_AsPbBr2
_symmetry_space_group_name_H-M 'F -4 3 m'
_symmetry_Int_Tables_number 216
_symmetry_space_group_name_Hall 'F -4 2 3'
_cell_length_a 7.4809
_cell_length_b 7.4809
_cell_length_c 7.4809
_cell_angle_alpha 90.00
_cell_angle_beta 90.00
_cell_angle_gamma 90.00
loop_
_atom_site_label
_atom_site_type_symbol
_atom_site_fract_x
_atom_site_fract_y
_atom_site_fract_z
As1 As 0.0000 0.0000 0.0000
Pb1 Pb 0.2500 0.2500 0.2500
Br1 Br 0.0000 0.0000 0.5000
Br2 Br 0.2500 0.2500 0.7500
```



Record 5
Below is crystalline As2PbBr at its relaxed geometry, with properties calculated at the PBE level.

Values from the calculation:
energy relative to the lowest polymorph listed for this composition: 35.51 kJ/mol of atoms
electronic total energy: -14.03 eV/f.u.
magnetization: 0.00 μB/f.u.
uncorrected formation energy: 0.16 eV/atom

The structure in CIF format:
```
data_As2PbBr
_symmetry_space_group_name_H-M 'I m m m'
_symmetry_Int_Tables_number 71
_symmetry_space_group_name_Hall '-I 2 2'
_cell_length_a 3.6942
_cell_length_b 4.5786
_cell_length_c 12.3345
_cell_angle_alpha 90.00
_cell_angle_beta 90.00
_cell_angle_gamma 90.00
loop_
_atom_site_label
_atom_site_type_symbol
_atom_site_fract_x
_atom_site_fract_y
_atom_site_fract_z
As1 As 0.0000 0.0000 0.2261
Pb1 Pb 0.0000 0.5000 0.5000
Br1 Br 0.0000 0.5000 0.0000
```



Record 6
Below is crystalline AsPb3Br at its relaxed geometry, with properties calculated at the PBE level.

Values from the calculation:
energy relative to the lowest polymorph listed for this composition: 0.00 kJ/mol of atoms
electronic total energy: -16.38 eV/f.u.
magnetization: 0.00 μB/f.u.
uncorrected formation energy: 0.21 eV/atom

The structure in CIF format:
```
data_AsPb3Br
_symmetry_space_group_name_H-M 'P m -3 m'
_symmetry_Int_Tables_number 221
_symmetry_space_group_name_Hall '-P 4 2 3'
_cell_length_a 5.7447
_cell_length_b 5.7447
_cell_length_c 5.7447
_cell_angle_alpha 90.00
_cell_angle_beta 90.00
_cell_angle_gamma 90.00
loop_
_atom_site_label
_atom_site_type_symbol
_atom_site_fract_x
_atom_site_fract_y
_atom_site_fract_z
As1 As 0.0000 0.0000 0.0000
Pb1 Pb 0.0000 0.0000 0.5000
Br1 Br 0.5000 0.5000 0.5000
```